Record 1
Zr2CdPt2: optimized geometry, GGA-PBEsol.

```
data_Zr2CdPt2
_chemical_formula_sum 'Zr2 Cd1 Pt2'
_cell_length_a 7.577
_cell_length_b 7.577
_cell_length_c 7.577
_cell_angle_alpha 150.88
_cell_angle_beta 150.88
_cell_angle_gamma 41.65
_symmetry_space_group_name_H-M 'P 1'
_symmetry_Int_Tables_number 1
loop_
_symmetry_equiv_pos_as_xyz
'x,y,z'
loop_
_atom_site_label
_atom_site_type_symbol
_atom_site_fract_x
_atom_site_fract_y
_atom_site_fract_z
Zr1 Zr 0.114 0.114 0.000
Zr2 Zr 0.886 0.886 0.000
Cd1 Cd 0.500 0.500 0.000
Pt1 Pt 0.250 0.750 0.500
Pt2 Pt 0.750 0.250 0.500
```

Summary:
symmetry	No. 139
volume	102.8	Å³/cell
crystal system	tetragonal
DFT total energy	-35.1	eV/f.u.
E_form	-0.365	eV per atom

Record 2
Zr2CdPt: optimized geometry, GGA-PBEsol.

```
data_Zr2CdPt
_chemical_formula_sum 'Zr2 Cd1 Pt1'
_cell_length_a 5.260
_cell_length_b 2.909
_cell_length_c 5.335
_cell_angle_alpha 90.00
_cell_angle_beta 111.81
_cell_angle_gamma 90.00
_symmetry_space_group_name_H-M 'P 1'
_symmetry_Int_Tables_number 1
loop_
_symmetry_equiv_pos_as_xyz
'x,y,z'
loop_
_atom_site_label
_atom_site_type_symbol
_atom_site_fract_x
_atom_site_fract_y
_atom_site_fract_z
Zr1 Zr 0.000 0.000 0.000
Zr2 Zr 0.500 0.500 0.000
Cd1 Cd 0.000 0.500 0.500
Pt1 Pt 0.500 0.000 0.500
```

Summary:
symmetry	No. 10
volume	75.8	Å³/cell
crystal system	monoclinic
DFT total energy	-27.3	eV/f.u.
E_form	-0.229	eV per atom